--- i ---
DFT (GGA-PBE) results for a relaxed PdRuRh crystal.

abc: 2.727 2.727 6.157
angles: 102.80 102.80 90.00
Sites, in units of the cell vectors:
1 Ru 0.673 0.673 0.345
2 Rh 0.325 0.325 0.651
3 Pd 0.002 0.002 0.004

- DOS(E_F) (states/eV/cell) = 4.73
- density (g cm⁻³) = 11.9



--- ii ---
DFT (GGA-PBE) results for a relaxed PdRuRh crystal.

abc: 2.716 2.716 11.767
angles: 90.00 90.00 90.00
Sites, in units of the cell vectors:
1 Pd 0.000 0.500 0.588
2 Pd 0.500 0.000 0.412
3 Ru 0.500 0.000 0.081
4 Ru 0.000 0.500 0.919
5 Rh 0.000 0.500 0.239
6 Rh 0.500 0.000 0.761

- DOS(E_F) (states/eV/cell) = 8.31
- density (g cm⁻³) = 11.9



Result of the stability comparison: ii is the most stable of them.



--- i ---
DFT (GGA-PBE) results for a relaxed PdRu2Rh2 crystal.

abc: 7.416 7.416 2.751
angles: 90.00 90.00 90.00
Sites, in units of the cell vectors:
1 Ru 0.379 0.879 0.000
2 Ru 0.879 0.621 0.000
3 Ru 0.621 0.121 0.000
4 Ru 0.121 0.379 0.000
5 Rh 0.173 0.673 0.500
6 Rh 0.673 0.827 0.500
7 Rh 0.827 0.327 0.500
8 Rh 0.327 0.173 0.500
9 Pd 0.000 0.000 0.000
10 Pd 0.500 0.500 0.000

- DOS(E_F) (states/eV/cell) = 11.43
- density (g cm⁻³) = 11.3



--- ii ---
DFT (GGA-PBE) results for a relaxed PdRu2Rh2 crystal.

abc: 7.436 7.436 2.730
angles: 90.00 90.00 90.00
Sites, in units of the cell vectors:
1 Ru 0.173 0.673 0.500
2 Ru 0.673 0.827 0.500
3 Ru 0.827 0.327 0.500
4 Ru 0.327 0.173 0.500
5 Rh 0.377 0.877 0.000
6 Rh 0.877 0.623 0.000
7 Rh 0.623 0.123 0.000
8 Rh 0.123 0.377 0.000
9 Pd 0.000 0.000 0.000
10 Pd 0.500 0.500 0.000

- DOS(E_F) (states/eV/cell) = 16.40
- density (g cm⁻³) = 11.3



--- iii ---
DFT (GGA-PBE) results for a relaxed PdRu2Rh2 crystal.

abc: 3.541 3.541 6.780
angles: 74.86 74.86 90.00
Sites, in units of the cell vectors:
1 Ru 0.750 0.250 0.500
2 Ru 0.250 0.750 0.500
3 Rh 0.401 0.401 0.199
4 Rh 0.599 0.599 0.801
5 Pd 0.000 0.000 0.000

- DOS(E_F) (states/eV/cell) = 6.57
- density (g cm⁻³) = 10.8



Result of the stability comparison: i is the most stable of them.



--- i ---
DFT (GGA-PBE) results for a relaxed PdRhS crystal.

abc: 3.794 3.741 3.741
angles: 120.00 90.00 90.00
Sites, in units of the cell vectors:
1 S 0.046 0.000 0.000
2 Rh 0.256 0.333 0.667
3 Pd 0.698 0.667 0.333

- DOS(E_F) (states/eV/cell) = 1.57
- density (g cm⁻³) = 8.7



--- ii ---
DFT (GGA-PBE) results for a relaxed PdRhS crystal.

abc: 3.016 3.016 5.305
angles: 106.52 106.52 90.00
Sites, in units of the cell vectors:
1 S 0.262 0.262 0.523
2 Rh 0.645 0.645 0.290
3 Pd 0.943 0.943 0.886

- DOS(E_F) (states/eV/cell) = 2.89
- density (g cm⁻³) = 9.1



Result of the stability comparison: i is the most stable of them.



--- i ---
DFT (GGA-PBE) results for a relaxed Pd3RhS crystal.

abc: 4.797 4.797 4.797
angles: 90.00 90.00 90.00
Last column: magnetic moment on the atom in μB.
Sites, in units of the cell vectors:
1 S 0.500 0.500 0.500  0.03
2 Rh 0.000 0.000 0.000  1.03
3 Pd 0.000 0.500 0.000  0.24
4 Pd 0.000 0.000 0.500  0.56
5 Pd 0.500 0.000 0.000  0.11

- DOS(E_F) (states/eV/cell) = 7.52
- density (g cm⁻³) = 6.8



--- ii ---
DFT (GGA-PBE) results for a relaxed Pd3RhS crystal.

abc: 4.444 4.444 4.444
angles: 90.00 90.00 90.00
Last column: magnetic moment on the atom in μB.
Sites, in units of the cell vectors:
1 S 0.000 0.000 0.000  0.01
2 Rh 0.500 0.500 0.500  1.34
3 Pd 0.000 0.500 0.000  0.08
4 Pd 0.000 0.000 0.500  0.05
5 Pd 0.500 0.000 0.000  0.16

- DOS(E_F) (states/eV/cell) = 7.66
- density (g cm⁻³) = 8.6



Result of the stability comparison: ii is the most stable of them.



--- i ---
DFT (GGA-PBE) results for a relaxed Sb2Pd2Rh crystal.

abc: 7.058 7.058 3.789
angles: 90.00 90.00 90.00
Sites, in units of the cell vectors:
1 Sb 0.342 0.842 0.000
2 Sb 0.842 0.658 0.000
3 Sb 0.658 0.158 0.000
4 Sb 0.158 0.342 0.000
5 Rh 0.000 0.000 0.000
6 Rh 0.500 0.500 0.000
7 Pd 0.143 0.643 0.500
8 Pd 0.643 0.857 0.500
9 Pd 0.857 0.357 0.500
10 Pd 0.357 0.143 0.500

- DOS(E_F) (states/eV/cell) = 5.00
- density (g cm⁻³) = 9.8



--- ii ---
DFT (GGA-PBE) results for a relaxed Sb2Pd2Rh crystal.

abc: 3.703 3.703 7.602
angles: 75.90 75.90 90.00
Sites, in units of the cell vectors:
1 Sb 0.395 0.395 0.210
2 Sb 0.605 0.605 0.790
3 Rh 0.000 0.000 0.000
4 Pd 0.750 0.250 0.500
5 Pd 0.250 0.750 0.500

- DOS(E_F) (states/eV/cell) = 3.68
- density (g cm⁻³) = 9.5



Result of the stability comparison: i is the most stable of them.



--- i ---
DFT (GGA-PBE) results for a relaxed Sc3PdRh crystal.

abc: 3.692 6.629 8.409
angles: 90.00 90.00 90.00
Sites, in units of the cell vectors:
1 Sc 0.750 0.750 0.052
2 Sc 0.250 0.250 0.948
3 Sc 0.750 0.990 0.689
4 Sc 0.750 0.510 0.689
5 Sc 0.250 0.010 0.311
6 Sc 0.250 0.490 0.311
7 Pd 0.750 0.750 0.422
8 Pd 0.250 0.250 0.578
9 Rh 0.750 0.250 0.161
10 Rh 0.250 0.750 0.839

- DOS(E_F) (states/eV/cell) = 7.94
- density (g cm⁻³) = 5.6



--- ii ---
DFT (GGA-PBE) results for a relaxed Sc3PdRh crystal.

abc: 4.921 4.921 4.921
angles: 90.00 90.00 90.00
Sites, in units of the cell vectors:
1 Sc 0.000 0.500 0.000
2 Sc 0.000 0.000 0.500
3 Sc 0.500 0.000 0.000
4 Rh 0.000 0.000 0.000
5 Pd 0.500 0.500 0.500

- DOS(E_F) (states/eV/cell) = 4.08
- density (g cm⁻³) = 4.8



Result of the stability comparison: i is the most stable of them.



--- i ---
DFT (GGA-PBE) results for a relaxed ScPdRh3 crystal.

abc: 4.592 4.592 4.592
angles: 90.00 90.00 90.00
Last column: magnetic moment on the atom in μB.
Sites, in units of the cell vectors:
1 Sc 0.000 0.000 0.000  -0.09
2 Rh 0.000 0.500 0.000  0.59
3 Rh 0.000 0.000 0.500  0.50
4 Rh 0.500 0.000 0.000  0.71
5 Pd 0.500 0.500 0.500  0.35

- DOS(E_F) (states/eV/cell) = 10.63
- density (g cm⁻³) = 7.9



--- ii ---
DFT (GGA-PBE) results for a relaxed ScPdRh3 crystal.

abc: 4.720 4.720 4.720
angles: 90.00 90.00 90.00
Last column: magnetic moment on the atom in μB.
Sites, in units of the cell vectors:
1 Sc 0.500 0.500 0.500  -0.04
2 Rh 0.000 0.500 0.000  0.43
3 Rh 0.000 0.000 0.500  0.84
4 Rh 0.500 0.000 0.000  0.22
5 Pd 0.000 0.000 0.000  0.56

- DOS(E_F) (states/eV/cell) = 8.64
- density (g cm⁻³) = 7.3



Result of the stability comparison: i is the most stable of them.



--- i ---
DFT (GGA-PBE) results for a relaxed PdRhSe3 crystal.

abc: 6.456 6.456 6.726
angles: 61.32 61.32 60.00
Sites, in units of the cell vectors:
1 Pd 0.648 0.648 0.055
2 Pd 0.352 0.352 0.945
3 Rh 0.849 0.849 0.454
4 Rh 0.151 0.151 0.546
5 Se 0.241 0.951 0.255
6 Se 0.951 0.552 0.255
7 Se 0.552 0.241 0.255
8 Se 0.759 0.049 0.745
9 Se 0.049 0.448 0.745
10 Se 0.448 0.759 0.745

- DOS(E_F) (states/eV/cell) = 6.72
- density (g cm⁻³) = 7.3



--- ii ---
DFT (GGA-PBE) results for a relaxed PdRhSe3 crystal.

abc: 4.854 4.854 4.854
angles: 90.00 90.00 90.00
Sites, in units of the cell vectors:
1 Rh 0.000 0.000 0.000
2 Se 0.000 0.500 0.000
3 Se 0.000 0.000 0.500
4 Se 0.500 0.000 0.000
5 Pd 0.500 0.500 0.500

- DOS(E_F) (states/eV/cell) = 8.17
- density (g cm⁻³) = 6.5



Result of the stability comparison: i is the most stable of them.



--- i ---
DFT (GGA-PBE) results for a relaxed PdRh3Se crystal.

abc: 4.766 4.766 4.766
angles: 90.00 90.00 90.00
Last column: magnetic moment on the atom in μB.
Sites, in units of the cell vectors:
1 Rh 0.000 0.500 0.000  1.04
2 Rh 0.000 0.000 0.500  1.34
3 Rh 0.500 0.000 0.000  0.65
4 Se 0.500 0.500 0.500  0.15
5 Pd 0.000 0.000 0.000  0.58

- DOS(E_F) (states/eV/cell) = 7.19
- density (g cm⁻³) = 7.6



--- ii ---
DFT (GGA-PBE) results for a relaxed PdRh3Se crystal.

abc: 4.528 4.528 4.528
angles: 90.00 90.00 90.00
Last column: magnetic moment on the atom in μB.
Sites, in units of the cell vectors:
1 Rh 0.000 0.500 0.000  0.09
2 Rh 0.000 0.000 0.500  0.08
3 Rh 0.500 0.000 0.000  0.21
4 Se 0.000 0.000 0.000  0.00
5 Pd 0.500 0.500 0.500  0.24

- DOS(E_F) (states/eV/cell) = 8.03
- density (g cm⁻³) = 8.8



Result of the stability comparison: ii is the most stable of them.



--- i ---
DFT (GGA-PBE) results for a relaxed SiPd3Rh crystal.

abc: 4.453 4.453 4.453
angles: 90.00 90.00 90.00
Last column: magnetic moment on the atom in μB.
Sites, in units of the cell vectors:
1 Si 0.000 0.000 0.000  0.00
2 Rh 0.500 0.500 0.500  1.09
3 Pd 0.000 0.500 0.000  -0.01
4 Pd 0.000 0.000 0.500  0.04
5 Pd 0.500 0.000 0.000  0.01

- DOS(E_F) (states/eV/cell) = 4.86
- density (g cm⁻³) = 8.5



--- ii ---
DFT (GGA-PBE) results for a relaxed SiPd3Rh crystal.

abc: 4.790 4.790 4.790
angles: 90.00 90.00 90.00
Last column: magnetic moment on the atom in μB.
Sites, in units of the cell vectors:
1 Si 0.500 0.500 0.500  0.02
2 Rh 0.000 0.000 0.000  1.06
3 Pd 0.000 0.500 0.000  0.23
4 Pd 0.000 0.000 0.500  0.55
5 Pd 0.500 0.000 0.000  0.09

- DOS(E_F) (states/eV/cell) = 7.08
- density (g cm⁻³) = 6.8



Result of the stability comparison: i is the most stable of them.



--- i ---
DFT (GGA-PBE) results for a relaxed Sm8Pd2Rh crystal.

abc: 6.233 7.764 7.764
angles: 114.13 101.34 101.34
Sites, in units of the cell vectors:
1 Sm 0.590 0.345 0.089
2 Sm 0.590 0.089 0.345
3 Sm 0.167 0.361 0.361
4 Sm 0.986 0.205 0.799
5 Sm 0.986 0.799 0.205
6 Sm 0.811 0.645 0.645
7 Sm 0.364 0.914 0.659
8 Sm 0.364 0.659 0.914
9 Pd 0.488 0.695 0.315
10 Pd 0.488 0.315 0.695
11 Rh 0.164 0.009 0.009

- DOS(E_F) (states/eV/cell) = 12.51
- density (g cm⁻³) = 7.9



--- ii ---
DFT (GGA-PBE) results for a relaxed Sm8Pd2Rh crystal.

abc: 5.156 6.868 9.188
angles: 102.30 106.30 90.00
Sites, in units of the cell vectors:
1 Sm 0.412 0.558 0.824
2 Sm 0.664 0.973 0.328
3 Sm 0.798 0.673 0.596
4 Sm 0.968 0.215 0.936
5 Sm 0.202 0.327 0.404
6 Sm 0.336 0.027 0.672
7 Sm 0.588 0.442 0.176
8 Sm 0.032 0.785 0.064
9 Pd 0.807 0.263 0.615
10 Pd 0.193 0.737 0.385
11 Rh 0.500 0.000 0.000

- DOS(E_F) (states/eV/cell) = 12.33
- density (g cm⁻³) = 8.3



Result of the stability comparison: ii is the most stable of them.



--- i ---
DFT (GGA-PBE) results for a relaxed Sm2Pd2Rh crystal.

abc: 3.773 3.963 7.546
angles: 105.23 90.00 90.00
Sites, in units of the cell vectors:
1 Sm 0.000 0.679 0.358
2 Sm 0.000 0.928 0.857
3 Pd 0.500 0.311 0.621
4 Pd 0.500 0.501 0.002
5 Rh 0.500 0.123 0.246

- DOS(E_F) (states/eV/cell) = 2.56
- density (g cm⁻³) = 9.4



--- ii ---
DFT (GGA-PBE) results for a relaxed Sm2Pd2Rh crystal.

abc: 6.053 6.192 7.559
angles: 114.18 113.60 90.00
Sites, in units of the cell vectors:
1 Sm 0.360 0.637 0.721
2 Sm 0.640 0.363 0.279
3 Sm 0.140 0.916 0.279
4 Sm 0.860 0.084 0.721
5 Pd 0.871 0.631 0.742
6 Pd 0.129 0.369 0.258
7 Pd 0.629 0.888 0.258
8 Pd 0.371 0.112 0.742
9 Rh 0.750 0.500 0.000
10 Rh 0.250 0.500 0.000

- DOS(E_F) (states/eV/cell) = 5.37
- density (g cm⁻³) = 8.8



Result of the stability comparison: i is the most stable of them.



--- i ---
DFT (GGA-PBE) results for a relaxed SrPdRh2 crystal.

abc: 4.454 4.454 9.839
angles: 76.92 76.92 90.00
Last column: magnetic moment on the atom in μB.
Sites, in units of the cell vectors:
1 Sr 0.500 0.500 0.000  0.00
2 Sr 0.250 0.750 0.500  0.00
3 Rh 0.765 0.125 0.250  0.13
4 Rh 0.985 0.625 0.250  0.13
5 Rh 0.375 0.235 0.750  0.13
6 Rh 0.875 0.015 0.750  0.13
7 Pd 0.000 0.000 0.000  0.02
8 Pd 0.750 0.250 0.500  0.02

- DOS(E_F) (states/eV/cell) = 12.82
- density (g cm⁻³) = 7.2



--- ii ---
DFT (GGA-PBE) results for a relaxed SrPdRh2 crystal.

abc: 4.709 4.709 4.709
angles: 60.00 60.00 60.00
Last column: magnetic moment on the atom in μB.
Sites, in units of the cell vectors:
1 Sr 0.000 0.000 0.000  -0.02
2 Rh 0.250 0.250 0.250  0.68
3 Rh 0.750 0.750 0.750  0.68
4 Pd 0.500 0.500 0.500  0.32

- DOS(E_F) (states/eV/cell) = 6.62
- density (g cm⁻³) = 9.0



Result of the stability comparison: i is the most stable of them.